VASP calculation (GGA+U) on Sr2MnPdO5 after structural relaxation.

Geometry as POSCAR:
```
Sr2MnPdO5
1.0
-0.4527 -3.5284 -1.7820
-1.6489 -1.4616 3.3129
-7.4187 2.3035 -2.6762
Sr Mn Pd O
2 1 1 5
direct
0.5000 0.5000 0.2857
0.5000 0.5000 0.7143
0.0000 0.0000 0.0000
0.0000 0.0000 0.5000
0.0000 0.5000 0.5000
0.5000 0.0000 0.5000
0.0000 0.0000 0.7603
0.0000 0.0000 0.2397
0.5000 0.5000 0.0000
```

The volume comes out at 130 Å³ per cell. The total energy comes out at -55.401 eV per formula unit. Its total magnetic moment is 4.66 μB/cell. As for the space group: P4/mmm, No. 123. As for the crystal system: tetragonal.